(1)
Entry from Alexandria via LeMat-Bulk: Hf2BPRu at its PBEsol-relaxed geometry (SCAN).

extended XYZ file:
```
5
Lattice="4.891 0.000 0.000 0.000 4.891 0.000 0.000 0.000 3.875" Properties=species:S:1:pos:R:3 pbc="T T T"
Hf 0.000 2.445 0.000
Hf 2.445 0.000 0.000
B 0.000 0.000 1.938
P 2.445 2.445 1.938
Ru 0.000 0.000 0.000
```

Properties
The calculation puts the density of states at the Fermi level at 3.4 states/eV/cell. As for the calculated total energy: -35.35 eV per atom. As for the calculated volume: 18.54 A^3/atom.


(2)
Entry from Alexandria via LeMat-Bulk: NdFeSi at its PBEsol-relaxed geometry (SCAN).

extended XYZ file:
```
6
Lattice="4.011 0.000 0.000 0.000 4.011 0.000 0.000 0.000 6.830" Properties=species:S:1:pos:R:3 pbc="T T T"
Nd 1.003 1.003 1.250
Nd 3.008 3.008 5.580
Fe 1.003 3.008 3.415
Fe 3.008 1.003 3.415
Si 1.003 1.003 4.536
Si 3.008 3.008 2.294
```

Properties
The calculation puts the density of states at the Fermi level at 5.8 states/eV/cell. The calculation puts the raw formation energy at -0.4942 eV/atom. As for the calculated total energy: -24.40 eV per atom. As for the calculated volume: 18.31 A^3/atom.


(3)
Entry from Alexandria via LeMat-Bulk: BaCdHg2 at its PBEsol-relaxed geometry (SCAN).

extended XYZ file:
```
4
Lattice="4.366 -2.522 0.000 4.366 2.522 0.000 -2.898 0.000 5.287" Properties=species:S:1:pos:R:3 pbc="T T T"
Ba 0.000 0.000 0.000
Cd 5.821 0.000 1.928
Hg 0.011 0.000 3.435
Hg 2.911 0.000 1.994
```

Properties
The calculation puts the density of states at the Fermi level at 1.8 states/eV/cell. As for the calculated total energy: -51.99 eV per atom. As for the calculated volume: 29.10 A^3/atom.


(4)
Entry from Alexandria via LeMat-Bulk: AsRuSe at its PBEsol-relaxed geometry (SCAN).

extended XYZ file:
```
3
Lattice="0.000 2.965 2.965 2.965 0.000 2.965 2.965 2.965 0.000" Properties=species:S:1:pos:R:3 pbc="T T T"
As 0.000 0.000 0.000
Ru 4.447 4.447 4.447
Se 2.965 2.965 2.965
```

Properties
The calculation puts the density of states at the Fermi level at 1.3 states/eV/cell. The calculation puts the raw formation energy at -0.1536 eV/atom. As for the calculated total energy: -25.19 eV per atom. As for the calculated volume: 17.37 A^3/atom.


(5)
Entry from Alexandria via LeMat-Bulk: K2ScRu at its PBEsol-relaxed geometry (SCAN).

extended XYZ file:
```
4
Lattice="4.328 -1.624 0.000 4.328 1.624 0.000 -2.207 0.000 9.947" Properties=species:S:1:pos:R:3 pbc="T T T"
K 0.000 0.000 0.000
K -0.007 0.000 5.878
Sc 2.289 0.000 2.939
Ru 4.745 0.000 2.939
```

Properties
The calculation puts the density of states at the Fermi level at 2.4 states/eV/cell. The value obtained for the relative energy among the computed polymorphs is 0.130 eV per atom. As for the calculated total energy: -16.02 eV per atom. As for the calculated volume: 34.96 A^3/atom.


(6)
Entry from Alexandria via LeMat-Bulk: LiTlRh2 at its PBEsol-relaxed geometry (SCAN).

extended XYZ file:
```
4
Lattice="2.730 -4.527 0.000 2.730 4.527 0.000 -1.341 0.000 2.486" Properties=species:S:1:pos:R:3 pbc="T T T"
Li 0.000 0.000 0.000
Tl 2.730 0.000 0.000
Rh 0.694 2.263 1.243
Rh 0.694 -2.263 1.243
```

Properties
The calculation puts the density of states at the Fermi level at 2.4 states/eV/cell. As for the calculated total energy: -35.54 eV per atom. As for the calculated volume: 15.36 A^3/atom.


(7)
Entry from Alexandria via LeMat-Bulk: Be2AgHg at its PBEsol-relaxed geometry (SCAN).

extended XYZ file:
```
4
Lattice="-1.841 1.841 4.021 1.841 -1.841 4.021 1.841 1.841 -4.021" Properties=species:S:1:pos:R:3 pbc="T T T"
Be 0.000 0.000 0.000
Be 0.000 1.841 2.011
Ag 1.841 0.000 2.011
Hg 0.000 0.000 4.021
```

Properties
The calculation puts the density of states at the Fermi level at 0.9 states/eV/cell. As for the calculated total energy: -26.77 eV per atom. As for the calculated volume: 13.63 A^3/atom.


(8)
Entry from Alexandria via LeMat-Bulk: LaBiO3 at its PBEsol-relaxed geometry (SCAN).

extended XYZ file:
```
10
Lattice="3.104 1.792 4.975 -3.104 1.792 4.975 0.000 -3.584 4.975" Properties=species:S:1:pos:R:3 pbc="T T T"
La 0.000 0.000 0.000
La 0.000 0.000 7.463
Bi 0.000 0.000 3.348
Bi 0.000 0.000 10.811
O -0.845 -2.110 6.788
O -1.699 -0.005 9.276
O -1.405 1.787 6.788
O 0.854 -1.469 9.276
O 2.250 0.324 6.788
O 0.845 1.474 9.276
```

Properties
The calculation puts the density of states at the Fermi level at 0.0 states/eV/cell. The calculation puts the raw formation energy at -2.4158 eV/atom. As for the calculated total energy: -30.49 eV per atom. As for the calculated volume: 16.61 A^3/atom.